No. 1
Computed, not measured: a relaxed structure of RbLiSmF5 at the GGA-PBE level of DFT.

Cell lengths 6.3875, 6.3875, 8.5390 Å; angles 103.39, 103.39, 107.23 degrees
Last column: nearest neighbours and their distance in Å.
Positions (direct):
Li  0.3133  0.6867  0.7500  4 F 1.95-1.96
Li  0.6867  0.3133  0.2500  4 F 1.95-1.96
Sm  0.0000  0.0000  0.0000  6 F 2.25-2.26
Sm  0.0000  0.0000  0.5000  6 F 2.25-2.26
F  0.2909  0.8932  0.6145  1 Li 1.96
F  0.2387  0.3750  0.6004  1 Li 1.95
F  0.8932  0.2909  0.1145  1 Li 1.96
F  0.7091  0.1068  0.3855  1 Li 1.96
F  0.0725  0.9275  0.2500  2 Sm 2.26
F  0.3750  0.2387  0.1004  1 Li 1.95
F  0.6250  0.7613  0.8996  1 Li 1.95
F  0.7613  0.6250  0.3996  1 Li 1.95
F  0.9275  0.0725  0.7500  2 Sm 2.26
F  0.1068  0.7091  0.8855  1 Li 1.96
Rb  0.6597  0.3403  0.7500  5 F 2.75-2.88
Rb  0.3403  0.6597  0.2500  5 F 2.75-2.88

Formation energy from raw total energies in eV/atom: -3.46
Space-group type: No. 15


No. 2
Computed, not measured: a relaxed structure of Tb2CeSm6Tm at the GGA-PBE level of DFT.

Cell lengths 8.8302, 6.9289, 6.6753 Å; angles 121.27, 102.93, 90.00 degrees
Last column: nearest neighbours and their distance in Å.
Positions (direct):
Sm  0.4163  0.6238  0.2476  7 Sm 3.51-3.88, 1 Ce 3.58, 2 Tm 3.88
Sm  0.7979  0.9365  0.3460  2 Tb 3.22-3.49, 2 Sm 3.28-3.55, 1 Tm 3.28, 1 Ce 3.50
Sm  0.5837  0.3762  0.7524  7 Sm 3.51-3.88, 1 Ce 3.58, 2 Tm 3.88
Sm  0.7979  0.4095  0.3460  2 Tb 3.22-3.49, 2 Sm 3.28-3.55, 1 Tm 3.28, 1 Ce 3.50
Sm  0.2021  0.0635  0.6540  2 Tb 3.22-3.49, 2 Sm 3.28-3.55, 1 Tm 3.28, 1 Ce 3.50
Sm  0.2021  0.5905  0.6540  2 Tb 3.22-3.49, 2 Sm 3.28-3.55, 1 Tm 3.28, 1 Ce 3.50
Tm  0.5000  0.0000  0.0000  4 Sm 3.28, 2 Tb 3.33
Ce  0.0000  0.5000  0.0000  6 Sm 3.50-3.58, 4 Tb 3.81
Tb  0.1699  0.0895  0.1791  1 Tb 3.16, 4 Sm 3.22-3.49, 1 Tm 3.33
Tb  0.8301  0.9105  0.8209  1 Tb 3.16, 4 Sm 3.22-3.49, 1 Tm 3.33

Formation enthalpy at 0 K in eV/atom: 0.246
Space-group type: No. 12


No. 3
Computed, not measured: a relaxed structure of Nb2GeRuI at the GGA-PBE level of DFT.

Cell lengths 4.8856, 5.2103, 4.8856 Å; angles 90.00, 90.00, 90.00 degrees
Last column: nearest neighbours and their distance in Å.
Positions (direct):
Ru  0.0000  0.0000  0.0000  4 Nb 2.44, 2 I 2.61
I  0.0000  0.5000  0.0000  2 Ru 2.61
Nb  0.0000  0.0000  0.5000  2 Ru 2.44
Nb  0.5000  0.0000  0.0000  2 Ru 2.44
Ge  0.5000  0.5000  0.5000  4 I 3.45, 8 Nb 3.57

Formation energy from raw total energies in eV/atom: 1.26
Space-group type: No. 123


No. 4
Computed, not measured: a relaxed structure of PaTiSn2 at the GGA-PBE level of DFT.

Cell lengths 3.1521, 3.1521, 11.3103 Å; angles 81.99, 81.99, 60.00 degrees
Last column: nearest neighbours and their distance in Å.
Positions (direct):
Pa  0.0000  0.0000  0.0000  6 Pa 3.15, 2 Sn 3.21
Sn  0.9041  0.9041  0.2878  3 Ti 2.99, 6 Sn 3.15, 1 Pa 3.21
Sn  0.0959  0.0959  0.7122  3 Ti 2.99, 6 Sn 3.15, 1 Pa 3.21
Ti  0.5000  0.5000  0.5000  6 Sn 2.99, 6 Ti 3.15

Formation enthalpy at 0 K in eV/atom: 0.106
Space-group type: No. 166
Energy relative to the lowest polymorph listed for this composition in meV/atom: 261.6


no.,energy (Ry per atom)
1,-0.4098
2,-0.3346
3,-0.4302
4,-0.4589